No. 1
SrTiP3: relaxed, PBE.

abc: 5.2419 5.2419 5.2419
angles: 90.00 90.00 90.00
With the nearest neighbours (Å) after each atom.
Space group Pm-3m (No. 221)
Unique sites:
Sr (0.0000, 0.0000, 0.0000)  6 P 2.62
Ti (0.5000, 0.5000, 0.5000)  12 P 3.71
P (0.0000, 0.0000, 0.5000)  2 Sr 2.62

Properties
* ΔE to the lowest computed polymorph: 1936.0 meV/atom
* energy: -3.770 eV per atom
* DFT formation energy: 1391.0 meV per atom
* calculated volume: 28.81 A^3/atom
* magnetization: 1.62 μB/cell

No. 2
CaMn2Os: relaxed, PBE.

abc: 7.4623 7.4623 5.7998
angles: 90.00 90.00 90.00
With the nearest neighbours (Å) after each atom.
Space group I-42d (No. 122)
Unique sites:
Ca (0.0000, 0.0000, 0.0000)  2 Os 2.90, 8 Mn 3.12-3.16
Mn (0.1799, 0.2500, 0.6250)  2 Os 2.41
Os (0.0000, 0.0000, 0.5000)  4 Mn 2.41

Properties
* ΔE to the lowest computed polymorph: 424.0 meV/atom
* energy: -7.149 eV per atom
* DFT formation energy: 743.6 meV per atom
* calculated volume: 20.19 A^3/atom
* magnetization: 27.35 μB/cell

Theoretical density, respectively: 2.63, 7.00 Mg/m³.